Computed, not measured: a relaxed V2Te8Pd crystal at the PBE-GGA level of DFT.

a = 7.6186 Å, b = 6.6147 Å, c = 6.6147 Å
α = 91.08°, β = 89.92°, γ = 89.92°
Atoms (fractional coordinates):
1 Te 0.8354 0.6464 0.0973
2 Te 0.8354 0.0973 0.6464
3 Te 0.1646 0.3535 0.9027
4 Te 0.6871 0.1647 0.1647
5 Te 0.6687 0.5845 0.5845
6 Te 0.3313 0.4155 0.4155
7 Te 0.1646 0.9027 0.3535
8 Te 0.3129 0.8353 0.8353
9 V 0.3528 0.1346 0.1346
10 V 0.6472 0.8654 0.8654
11 Pd 0.0000 0.0000 0.0000

## Properties
Formation energy without anion corrections in eV/atom: -0.098
Space-group type: C2/m, No. 12
V in Å³ per atom: 30.30